DFT (PBE-GGA) results for a geometry-optimized LaNiIr2 structure.

Computed properties:
total DFT energy (no corrections)	-0.2473	hartree per atom
D(E_F)	8.06	states/eV/f.u.
distance to the lowest polymorph of the same formula	0.932	eV per atom
ΔE_f	0.38	eV/atom

abc: 9.4620 9.4620 9.4620
angles: 17.54 17.54 17.54
Fractional coordinates of all 4 atoms:
Ir (0.0136, 0.0136, 0.0136)
Ir (0.4864, 0.4864, 0.4864)
La (0.2500, 0.2500, 0.2500)
Ni (0.7500, 0.7500, 0.7500)

=====

DFT (PBE-GGA) results for a geometry-optimized LaNi2Ir2 structure.

Computed properties:
total DFT energy (no corrections)	-0.2595	hartree per atom
D(E_F)	7.39	states/eV/f.u.
distance to the lowest polymorph of the same formula	0.000	eV per atom
ΔE_f	-0.22	eV/atom

abc: 4.2513 4.2513 5.7731
angles: 68.40 68.40 90.00
Fractional coordinates of all 5 atoms:
Ni (0.7500, 0.2500, 0.5000)
Ni (0.2500, 0.7500, 0.5000)
Ir (0.3770, 0.3770, 0.2460)
Ir (0.6230, 0.6230, 0.7540)
La (0.0000, 0.0000, 0.0000)

=====

DFT (PBE-GGA) results for a geometry-optimized LaNiIr structure.

Computed properties:
total DFT energy (no corrections)	-0.2548	hartree per atom
D(E_F)	2.36	states/eV/f.u.
ΔE_f	-0.41	eV/atom

abc: 4.2268 10.2404 5.3845
angles: 90.00 90.00 90.00
Fractional coordinates of all 12 atoms:
La (0.0000, 0.7977, 0.2500)
La (0.0000, 0.2023, 0.7500)
La (0.5000, 0.2977, 0.2500)
La (0.5000, 0.7023, 0.7500)
Ni (0.0000, 0.5000, 0.0000)
Ni (0.0000, 0.5000, 0.5000)
Ni (0.5000, 0.0000, 0.0000)
Ni (0.5000, 0.0000, 0.5000)
Ir (0.0000, 0.0775, 0.2500)
Ir (0.0000, 0.9225, 0.7500)
Ir (0.5000, 0.5775, 0.2500)
Ir (0.5000, 0.4225, 0.7500)

=====

DFT (PBE-GGA) results for a geometry-optimized LaNiIr structure.

Computed properties:
total DFT energy (no corrections)	-0.2459	hartree per atom
D(E_F)	2.54	states/eV/f.u.
ΔE_f	-0.17	eV/atom

abc: 5.4325 5.4325 5.4325
angles: 141.21 144.09 53.89
Fractional coordinates of all 3 atoms:
Ir (0.0474, 0.0474, 0.0000)
La (0.3367, 0.3367, 0.0000)
Ni (0.6160, 0.6160, 0.0000)

=====

DFT (PBE-GGA) results for a geometry-optimized LaNi2Ir2 structure.

Computed properties:
total DFT energy (no corrections)	-0.2579	hartree per atom
D(E_F)	8.26	states/eV/f.u.
distance to the lowest polymorph of the same formula	0.045	eV per atom
ΔE_f	-0.17	eV/atom

abc: 3.9313 3.9313 6.1476
angles: 71.35 71.35 90.00
Fractional coordinates of all 5 atoms:
Ni (0.3928, 0.3928, 0.2144)
Ni (0.6072, 0.6072, 0.7856)
Ir (0.7500, 0.2500, 0.5000)
Ir (0.2500, 0.7500, 0.5000)
La (0.0000, 0.0000, 0.0000)

=====

DFT (PBE-GGA) results for a geometry-optimized LaNiIr structure.

Computed properties:
total DFT energy (no corrections)	-0.2588	hartree per atom
D(E_F)	1.87	states/eV/f.u.
ΔE_f	-0.52	eV/atom

abc: 4.1878 4.1878 4.0895
angles: 90.00 90.00 120.00
Fractional coordinates of all 3 atoms:
La (0.3333, 0.6667, 0.5000)
Ni (0.0000, 0.0000, 0.0000)
Ir (0.6667, 0.3333, 0.0000)